Below is crystalline LaPuSbO2 at its relaxed geometry, with properties calculated at the GGA-PBE level.

Its spin magnetization is 0.912 μB per atom. Its formation energy from raw total energies is -2.472 eV/atom. As for the crystal system: tetragonal. The mass density comes out at 8.46 g/cm³.

Lattice parameters (Å, degrees): 3.973 3.973 13.342 90.00 90.00 90.00
Space group I4mm (No. 107)
Unique sites:
La (0.000, 0.000, 0.000)
Pu (0.000, 0.000, 0.315)
Sb (0.000, 0.000, 0.665)
O (0.000, 0.500, 0.402)